AcMoIO4: relaxed, PBE with a Hubbard U.

## Properties
E (Ry per atom): -0.501
Space-group type: No. 12

a = 6.899 Å, b = 6.899 Å, c = 7.500 Å
α = 77.91°, β = 77.91°, γ = 68.03°
Atoms (fractional coordinates):
O  0.301  0.301  0.503
O  0.474  0.474  0.786
O  0.867  0.503  0.856
O  0.497  0.133  0.144
O  0.699  0.699  0.497
O  0.133  0.497  0.144
O  0.526  0.526  0.214
O  0.503  0.867  0.856
I  0.026  0.026  0.248
I  0.974  0.974  0.752
Ac  0.246  0.246  0.854
Ac  0.754  0.754  0.146
Mo  0.365  0.365  0.259
Mo  0.635  0.635  0.741